Model A:
Entry from Alexandria: crystalline Dy2Ag3Hg4 at its relaxed geometry (PBE).

Values from the calculation:
The density of states at the Fermi level is 3.676 states/eV/cell. Its space group is No. 12.

a = 4.955 Å, b = 4.938 Å, c = 9.385 Å
α = 90.35°, β = 90.00°, γ = 59.89°
Element x y z (fractional)
Hg  0.333  0.334  0.101
Dy  0.666  0.668  0.230
Hg  0.001  0.998  0.654
Hg  0.999  0.002  0.346
Ag  0.333  0.335  0.431
Dy  0.334  0.332  0.770
Ag  0.000  0.000  0.000
Hg  0.667  0.666  0.899
Ag  0.667  0.665  0.569

---

Model B:
Entry from Alexandria: crystalline Dy2Ag3Hg4 at its relaxed geometry (PBE).

Values from the calculation:
The density of states at the Fermi level is 7.671 states/eV/cell. Its space group is No. 64.

a = 6.079 Å, b = 8.725 Å, c = 8.391 Å
α = 90.00°, β = 111.24°, γ = 90.00°
Element x y z (fractional)
Hg  0.681  0.533  0.362
Hg  0.181  0.967  0.362
Hg  0.788  0.250  0.077
Ag  0.028  0.750  0.556
Ag  0.472  0.250  0.444
Ag  0.528  0.750  0.556
Dy  0.381  0.069  0.762
Dy  0.619  0.931  0.238
Ag  0.500  0.500  0.000
Hg  0.819  0.033  0.638
Dy  0.881  0.431  0.762
Hg  0.712  0.750  0.923
Hg  0.288  0.250  0.077
Ag  0.972  0.250  0.444
Hg  0.319  0.467  0.638
Hg  0.212  0.750  0.923
Dy  0.119  0.569  0.238
Ag  0.000  0.000  0.000

---

Verdict on stability: model B comes out at the bottom.

---

Model A:
Entry from Alexandria: crystalline DyAgHg6 at its relaxed geometry (PBE).

Values from the calculation:
The density of states at the Fermi level is 2.924 states/eV/cell. Its space group is No. 166.

a = 6.142 Å, b = 6.142 Å, c = 8.611 Å
α = 69.11°, β = 69.11°, γ = 60.00°
Element x y z (fractional)
Hg  0.556  0.068  0.308
Hg  0.932  0.444  0.692
Hg  0.932  0.932  0.692
Ag  0.500  0.500  0.500
Hg  0.068  0.556  0.308
Dy  0.000  0.000  0.000
Hg  0.068  0.068  0.308
Hg  0.444  0.932  0.692

---

Model B:
Entry from Alexandria: crystalline DyAgHg6 at its relaxed geometry (PBE).

Values from the calculation:
The density of states at the Fermi level is 3.495 states/eV/cell. Its space group is No. 38.

a = 4.969 Å, b = 6.510 Å, c = 6.510 Å
α = 114.42°, β = 90.00°, γ = 90.00°
Element x y z (fractional)
Hg  0.000  0.117  0.390
Hg  0.500  0.420  0.131
Hg  0.000  0.601  0.399
Dy  0.000  0.117  0.883
Hg  0.500  0.869  0.580
Hg  0.000  0.610  0.883
Hg  0.500  0.918  0.082
Ag  0.500  0.347  0.653

---

Verdict on stability: model A comes out at the bottom.

---

Model A:
Entry from Alexandria: crystalline Dy2AgHg5 at its relaxed geometry (PBE).

Values from the calculation:
The density of states at the Fermi level is 3.448 states/eV/cell. Its space group is No. 166.

a = 4.734 Å, b = 4.734 Å, c = 11.082 Å
α = 77.67°, β = 77.67°, γ = 60.00°
Element x y z (fractional)
Dy  0.094  0.094  0.718
Hg  0.798  0.798  0.605
Hg  0.372  0.372  0.884
Hg  0.202  0.202  0.395
Dy  0.906  0.906  0.282
Ag  0.000  0.000  0.000
Hg  0.500  0.500  0.500
Hg  0.628  0.628  0.116

---

Model B:
Entry from Alexandria: crystalline Dy2AgHg5 at its relaxed geometry (PBE).

Values from the calculation:
The density of states at the Fermi level is 4.922 states/eV/cell. Its space group is No. 139.

a = 5.166 Å, b = 5.166 Å, c = 7.978 Å
α = 108.89°, β = 108.89°, γ = 90.00°
Last column: magnetic moment on the atom in μB.
Element x y z (fractional)
Hg  0.880  0.380  0.760  0.00
Hg  0.380  0.880  0.760  0.00
Hg  0.500  0.500  0.000  0.00
Dy  0.252  0.252  0.503  0.14
Ag  0.000  0.000  0.000  0.00
Dy  0.748  0.748  0.497  0.14
Hg  0.120  0.620  0.240  0.00
Hg  0.620  0.120  0.240  0.00

---

Verdict on stability: model A comes out at the bottom.